The following is a DFT calculation (PBE-GGA) of Dy2Y6Er5 after structural relaxation.

It has space group Pbam (No. 55), with a = 11.6281 Å, b = 20.1307 Å, c = 3.5661 Å, α = 90.00°, β = 90.00° and γ = 90.00°. Symmetry generates all atoms from Dy at (0.1652, 0.2100, 0.0000), Y at (0.0571, 0.9189, 0.0000), Y at (0.0853, 0.6309, 0.0000), Y at (0.1730, 0.3659, 0.5000), Er at (0.0000, 0.5000, 0.5000), Er at (0.0914, 0.7729, 0.5000) and Er at (0.1988, 0.0494, 0.5000).

The value obtained for the total energy is -0.39272 Ry per atom.

The following is a DFT calculation (PBE-GGA) of Dy9YEr2 after structural relaxation.

It has space group P4/mmm (No. 123), with a = 5.0083 Å, b = 5.0083 Å, c = 15.0241 Å, α = 90.00°, β = 90.00° and γ = 90.00°. Symmetry generates all atoms from Dy at (0.0000, 0.0000, 0.0000), Dy at (0.0000, 0.0000, 0.3340), Dy at (0.0000, 0.5000, 0.1679), Dy at (0.0000, 0.5000, 0.5000), Y at (0.5000, 0.5000, 0.0000) and Er at (0.5000, 0.5000, 0.3338).

The energy above the lowest structure with this stoichiometry comes out at 0 meV/atom.

The following is a DFT calculation (PBE-GGA) of DyY4Er after structural relaxation.

It has space group P2_1/c (No. 14), with a = 6.9877 Å, b = 9.7129 Å, c = 5.6213 Å, α = 90.00°, β = 90.04° and γ = 90.00°. Symmetry generates all atoms from Dy at (0.0000, 0.0000, 0.0000), Y at (0.2509, 0.1638, 0.5009), Y at (0.2510, 0.6696, 0.0008) and Er at (0.5000, 0.0000, 0.0000).

The energy above the lowest structure with this stoichiometry comes out at 47 meV/atom.

The following is a DFT calculation (PBE-GGA) of DyY3Er2 after structural relaxation.

It has space group C2/m (No. 12), with a = 17.6831 Å, b = 3.4937 Å, c = 14.1403 Å, α = 90.00°, β = 117.54° and γ = 90.00°. Symmetry generates all atoms from Dy at (0.0614, 0.0000, 0.1438), Y at (0.0390, 0.5000, 0.7146), Y at (0.1000, 0.0000, 0.5257), Y at (0.2416, 0.0000, 0.7947), Er at (0.1578, 0.0000, 0.9682) and Er at (0.1814, 0.5000, 0.3835).

The value obtained for the total energy is -0.39685 Ry per atom.

The following is a DFT calculation (PBE-GGA) of Dy6Y2Er3 after structural relaxation.

It has space group I4/mmm (No. 139), with a = 4.6944 Å, b = 4.6944 Å, c = 33.2270 Å, α = 90.00°, β = 90.00° and γ = 90.00°. Symmetry generates all atoms from Dy at (0.0000, 0.0000, 0.1974), Dy at (0.0000, 0.5000, 0.1222), Y at (0.0000, 0.0000, 0.0461), Er at (0.0000, 0.0000, 0.3003) and Er at (0.0000, 0.0000, 0.5000).

The energy above the lowest structure with this stoichiometry comes out at 273 meV/atom.

The following is a DFT calculation (PBE-GGA) of Dy6YEr5 after structural relaxation.

It has space group C2/m (No. 12), with a = 6.1172 Å, b = 10.5823 Å, c = 11.6904 Å, α = 90.00°, β = 99.99° and γ = 90.00°. Symmetry generates all atoms from Dy at (0.2488, 0.0000, 0.2507), Dy at (0.2499, 0.1671, 0.7493), Y at (0.0000, 0.5000, 0.0000), Er at (0.0000, 0.0000, 0.5000), Er at (0.0000, 0.1667, 0.0000) and Er at (0.0000, 0.3333, 0.5000).

The value obtained for the total energy is -0.34699 Ry per atom.

The following is a DFT calculation (PBE-GGA) of Dy5Y3Er after structural relaxation.

It has space group C2/c (No. 15), with a = 16.2275 Å, b = 6.6897 Å, c = 11.3508 Å, α = 90.00°, β = 108.70° and γ = 90.00°. Symmetry generates all atoms from Dy at (0.0000, 0.1811, 0.2500), Dy at (0.1073, 0.0055, 0.0437), Dy at (0.1754, 0.3812, 0.3745), Y at (0.0000, 0.5000, 0.0000), Y at (0.2363, 0.1228, 0.8537) and Er at (0.0000, 0.2741, 0.7500).

The energy above the lowest structure with this stoichiometry comes out at 0 meV/atom.

The following is a DFT calculation (PBE-GGA) of DyYEr5 after structural relaxation.

It has space group C2/c (No. 15), with a = 11.5822 Å, b = 6.6924 Å, c = 12.0733 Å, α = 90.00°, β = 109.70° and γ = 90.00°. Symmetry generates all atoms from Dy at (0.0000, 0.0270, 0.2500), Y at (0.2500, 0.2500, 0.0000), Er at (0.0000, 0.4168, 0.7500), Er at (0.0779, 0.2689, 0.5004) and Er at (0.2203, 0.3600, 0.2483).

The energy above the lowest structure with this stoichiometry comes out at 0 meV/atom.

The following is a DFT calculation (PBE-GGA) of Dy12YEr7 after structural relaxation.

It has space group R-3 (No. 148, hexagonal axes), with a = 12.7468 Å, b = 12.7468 Å, c = 13.6078 Å, α = 90.00°, β = 90.00° and γ = 120.00°. Symmetry generates all atoms from Dy at (0.0004, 0.4363, 0.2497), Dy at (0.0687, 0.8689, 0.8474), Y at (0.0000, 0.0000, 0.5000), Er at (0.0000, 0.0000, 0.0000) and Er at (0.0687, 0.2001, 0.3475).

The energy above the lowest structure with this stoichiometry comes out at 0 meV/atom.

The following is a DFT calculation (PBE-GGA) of Dy4Y2Er3 after structural relaxation.

It has space group C2/c (No. 15), with a = 16.0729 Å, b = 11.5407 Å, c = 6.1176 Å, α = 90.00°, β = 95.81° and γ = 90.00°. Symmetry generates all atoms from Dy at (0.0463, 0.1417, 0.0131), Dy at (0.2139, 0.3559, 0.8451), Y at (0.1208, 0.3593, 0.3191), Er at (0.0000, 0.4014, 0.7500) and Er at (0.1664, 0.0958, 0.5835).

The value obtained for the total energy is -0.36042 Ry per atom.

The following is a DFT calculation (PBE-GGA) of DyYEr2 after structural relaxation.

It has space group R-3m (No. 166, hexagonal axes), with a = 3.5333 Å, b = 3.5333 Å, c = 34.5354 Å, α = 90.00°, β = 90.00° and γ = 120.00°. Symmetry generates all atoms from Dy at (0.0000, 0.0000, 0.0000), Y at (0.0000, 0.0000, 0.5000) and Er at (0.0000, 0.0000, 0.2504).

The energy above the lowest structure with this stoichiometry comes out at 19 meV/atom.

The following is a DFT calculation (PBE-GGA) of DyY4Er2 after structural relaxation.

It has space group C2/m (No. 12), with a = 16.6693 Å, b = 3.5402 Å, c = 8.7034 Å, α = 90.00°, β = 119.56° and γ = 90.00°. Symmetry generates all atoms from Dy at (0.0000, 0.0000, 0.0000), Y at (0.1397, 0.5000, 0.8323), Y at (0.2040, 0.5000, 0.2935) and Er at (0.0701, 0.0000, 0.4298).

The energy above the lowest structure with this stoichiometry comes out at 0 meV/atom.

Number 1: density 6.74 g/cm³, N(E_F) 1.28 states/eV per atom. Number 2: density 8.31 g/cm³, N(E_F) 1.51 states/eV per atom. Number 3: density 5.97 g/cm³, N(E_F) 1.99 states/eV per atom. Number 4: density 6.55 g/cm³, N(E_F) 1.75 states/eV per atom. Number 5: density 7.50 g/cm³, N(E_F) 1.54 states/eV per atom. Number 6: density 8.47 g/cm³, N(E_F) 1.36 states/eV per atom. Number 7: density 7.09 g/cm³, N(E_F) 1.55 states/eV per atom. Number 8: density 8.20 g/cm³, N(E_F) 1.25 states/eV per atom. Number 9: density 8.35 g/cm³, N(E_F) 0.92 states/eV per atom. Number 10: density 7.82 g/cm³, N(E_F) 1.49 states/eV per atom. Number 11: density 7.82 g/cm³, N(E_F) 1.51 states/eV per atom. Number 12: density 6.34 g/cm³, N(E_F) 1.73 states/eV per atom.